[1]
Compound: AlAgRu2
Source: Alexandria
Functional: GGA-PBEsol
Structure: relaxed

a b c (Å): 3.894 3.894 7.508
angles (deg): 90.00 90.00 90.00
Space group I4/mmm (No. 139)
One atom of each set of equivalent atoms:
Al: 0.000 0.000 0.000 (multiplicity 2)
Ag: 0.000 0.000 0.500 (multiplicity 2)
Ru: 0.000 0.500 0.250 (multiplicity 4)

## Properties
Calculated formation energy: 0.23 eV/atom
DFT total energy: -6.708 eV per atom

[2]
Compound: AlAgS2
Source: Alexandria
Functional: GGA-PBEsol
Structure: relaxed

a b c (Å): 3.4904 3.4904 6.7501
angles (deg): 90.00 90.00 120.00
Space group P3m1 (No. 156)
One atom of each set of equivalent atoms:
Al: 0.0000 0.0000 0.0000 (multiplicity 1)
Ag: 0.6667 0.3333 0.4625 (multiplicity 1)
S: 0.3333 0.6667 0.2087 (multiplicity 1)
S: 0.6667 0.3333 0.8159 (multiplicity 1)

## Properties
Formation energy from raw total energies: -2.89 eV per formula unit
DFT total energy: -4.765 eV per atom

[3]
Compound: Al2AgS
Source: Alexandria
Functional: GGA-PBEsol
Structure: relaxed

a b c (Å): 6.024 6.024 9.523
angles (deg): 90.00 90.00 90.00
Space group I-42d (No. 122)
One atom of each set of equivalent atoms:
Al: 0.238 0.250 0.125 (multiplicity 8)
Ag: 0.000 0.000 0.500 (multiplicity 4)
S: 0.000 0.000 0.000 (multiplicity 4)

## Properties
Formation energy from raw total energies: -0.17 eV per formula unit
DFT total energy: -4.012 eV per atom

[4]
Compound: AlAgS2
Source: Alexandria
Functional: GGA-PBEsol
Structure: relaxed

a b c (Å): 3.4958 3.4958 20.3199
angles (deg): 90.00 90.00 120.00
Space group R3m (No. 160, hexagonal axes)
One atom of each set of equivalent atoms:
Al: 0.0000 0.0000 0.0000 (multiplicity 3)
Ag: 0.0000 0.0000 0.8449 (multiplicity 3)
S: 0.0000 0.0000 0.2649 (multiplicity 3)
S: 0.0000 0.0000 0.7280 (multiplicity 3)

## Properties
Formation energy from raw total energies: -2.82 eV per formula unit
DFT total energy: -4.749 eV per atom

[5]
Compound: AlAgS2
Source: Alexandria
Functional: GGA-PBEsol
Structure: relaxed

a b c (Å): 5.623 5.623 10.428
angles (deg): 90.00 90.00 90.00
Space group I-42d (No. 122)
One atom of each set of equivalent atoms:
Al: 0.000 0.000 0.000 (multiplicity 4)
Ag: 0.000 0.000 0.500 (multiplicity 4)
S: 0.213 0.250 0.125 (multiplicity 8)

## Properties
Formation energy from raw total energies: -3.00 eV per formula unit
DFT total energy: -4.794 eV per atom

[6]
Compound: Al5AgS8
Source: Alexandria
Functional: GGA-PBEsol
Structure: relaxed

a b c (Å): 10.068 10.068 10.068
angles (deg): 90.00 90.00 90.00
Space group F-43m (No. 216)
One atom of each set of equivalent atoms:
Al: 0.000 0.000 0.000 (multiplicity 4)
Al: 0.119 0.119 0.381 (multiplicity 16)
Ag: 0.250 0.250 0.750 (multiplicity 4)
S: 0.114 0.114 0.614 (multiplicity 16)
S: 0.134 0.134 0.134 (multiplicity 16)

## Properties
Formation energy from raw total energies: -13.94 eV per formula unit
DFT total energy: -5.199 eV per atom

Number 1: total magnetization 0.014 μB/f.u.. Number 2: total magnetization 0.000 μB/f.u.. Number 3: total magnetization 0.000 μB/f.u.. Number 4: total magnetization 0.000 μB/f.u.. Number 5: total magnetization 0.000 μB/f.u.. Number 6: total magnetization 0.000 μB/f.u..